Here is Nd3PuOs8 after structural relaxation from the Alexandria database. Energies are from GGA-PBE.

* electronic total energy: -9.949 eV per atom
* DOS(E_F): 42.6 states/eV/cell
* formation enthalpy at 0 K: -0.077 eV per atom

a = 5.4144 Å, b = 5.4144 Å, c = 26.6032 Å
α = 90.00°, β = 90.00°, γ = 120.00°
Space group R3m (No. 160, hexagonal axes)
Asymmetric unit:
Nd (0.0000, 0.0000, 0.0000) x3
Nd (0.0000, 0.0000, 0.1253) x3
Nd (0.0000, 0.0000, 0.4999) x3
Pu (0.0000, 0.0000, 0.6245) x3
Os (0.0000, 0.0000, 0.3116) x3
Os (0.0000, 0.0000, 0.8121) x3
Os (0.0028, 0.5014, 0.5635) x9
Os (0.1681, 0.3363, 0.3943) x9

***

Here is NdPu2Os9 after structural relaxation from the Alexandria database. Energies are from GGA-PBE.

* electronic total energy: -11.175 eV per atom
* DOS(E_F): 22.1 states/eV/cell
* formation enthalpy at 0 K: 0.034 eV per atom

a = 5.312 Å, b = 5.326 Å, c = 9.203 Å
α = 90.91°, β = 106.52°, γ = 118.76°
Space group P-1 (No. 2)
Asymmetric unit:
Nd (0.000, 0.000, 0.000) x1
Pu (0.284, 0.141, 0.424) x2
Os (0.000, 0.500, 0.500) x1
Os (0.160, 0.585, 0.242) x2
Os (0.334, 0.400, 0.736) x2
Os (0.344, 0.918, 0.760) x2
Os (0.354, 0.634, 0.993) x2

***

Here is NdPuTlOs after structural relaxation from the Alexandria database. Energies are from GGA-PBE.

* electronic total energy: -8.260 eV per atom
* DOS(E_F): 7.4 states/eV/cell
* formation enthalpy at 0 K: -0.086 eV per atom

a = 3.360 Å, b = 3.360 Å, c = 8.760 Å
α = 90.00°, β = 90.00°, γ = 90.00°
Space group P4mm (No. 99)
Asymmetric unit:
Nd (0.000, 0.000, 0.000) x1
Pu (0.000, 0.000, 0.595) x1
Tl (0.500, 0.500, 0.303) x1
Os (0.500, 0.500, 0.783) x1

***

Here is Nd8OsRh2 after structural relaxation from the Alexandria database. Energies are from GGA-PBE.

* electronic total energy: -6.046 eV per atom
* DOS(E_F): 22.1 states/eV/cell
* formation enthalpy at 0 K: -0.221 eV per atom
* ΔE to the lowest computed polymorph: 47 meV/atom

a = 8.414 Å, b = 12.971 Å, c = 6.429 Å
α = 90.00°, β = 111.72°, γ = 90.00°
Space group Cm (No. 8)
Asymmetric unit:
Nd (0.000, 0.000, 0.000) x2
Nd (0.066, 0.368, 0.786) x4
Nd (0.136, 0.130, 0.564) x4
Nd (0.199, 0.500, 0.372) x2
Nd (0.345, 0.202, 0.186) x4
Os (0.352, 0.000, 0.377) x2
Rh (0.353, 0.313, 0.680) x4